# 1
The following is a PBE-GGA calculation of a geometry-optimized AcIn4Pt2 structure, from the Alexandria database.

Calculated values
Volume = 334 Å³ per cell
E above lowest polymorph = 1.46 kcal/mol of atoms
ΔH_f (0 K) = -55.3 kJ per mole of atoms
E_tot = -62.311 eV per cell

Unit cell a=8.8145 b=8.8145 c=4.2960 alpha=90.00 beta=90.00 gamma=90.00
Space group P4_2/mnm (No. 136)
Asymmetric unit:
Ac (0.0000, 0.0000, 0.0000) x2
In (0.0861, 0.3302, 0.5000) x8
Pt (0.2011, 0.7989, 0.5000) x4



# 2
The following is a PBE-GGA calculation of a geometry-optimized Ac4InPt structure, from the Alexandria database.

Calculated values
Volume = 941 Å³ per cell
E above lowest polymorph = 2.65 kcal/mol of atoms
ΔH_f (0 K) = -42.9 kJ per mole of atoms
E_tot = -111.525 eV per cell

Unit cell a=5.8282 b=22.2483 c=7.2532 alpha=90.00 beta=90.00 gamma=90.00
Space group Cmc2_1 (No. 36)
Asymmetric unit:
Ac (0.0000, 0.0481, 0.0000) x4
Ac (0.0000, 0.1900, 0.2934) x4
Ac (0.0000, 0.2058, 0.8043) x4
Ac (0.0000, 0.4029, 0.0568) x4
In (0.0000, 0.3459, 0.5442) x4
Pt (0.0000, 0.0866, 0.5738) x4